Material: NdTh2Ni
Method: DFT, GGA-PBE
State: optimized geometry

space-group type	P4/mmm, No. 123
relative energy among the computed polymorphs	0.090	eV per atom

Cell: 3.573 3.573 8.620 Å, 90.00 90.00 90.00°
Element x y z (fractional)
Nd (0.000, 0.000, 0.000)
Th (0.500, 0.500, 0.311)
Th (0.500, 0.500, 0.689)
Ni (0.000, 0.000, 0.500)